(1)
VASP calculation (PBE) on ErSn after structural relaxation.

Unit cell a=6.1712 b=6.1712 c=6.1712 alpha=90.00 beta=90.00 gamma=90.00
Closest atoms and distances in Å follow each position.
Space group Fm-3m (No. 225)
Unique sites:
Er  0.0000  0.0000  0.0000 (multiplicity 4)  6 Sn 3.09
Sn  0.0000  0.0000  0.5000 (multiplicity 4)  6 Er 3.09

Computed properties:
Formation energy from the elements in eV/atom: -0.463

=====

(2)
VASP calculation (PBE) on Er2Sn5 after structural relaxation.

Unit cell a=4.3521 b=4.4363 c=19.0137 alpha=90.00 beta=90.00 gamma=90.00
Closest atoms and distances in Å follow each position.
Space group Pmmn (No. 59, origin choice 2)
Unique sites:
Er  0.2500  0.2500  0.1289 (multiplicity 2)  10 Sn 3.15-3.40
Er  0.2500  0.7500  0.7016 (multiplicity 2)  10 Sn 3.17-3.51
Sn  0.2500  0.2500  0.4235 (multiplicity 2)  5 Sn 2.93-3.11, 2 Er 3.22
Sn  0.2500  0.2500  0.5778 (multiplicity 2)  5 Sn 2.93-3.11, 2 Er 3.24
Sn  0.2500  0.2500  0.8448 (multiplicity 2)  2 Sn 3.01, 4 Er 3.15
Sn  0.2500  0.7500  0.0015 (multiplicity 2)  4 Sn 3.11, 4 Er 3.29-3.30
Sn  0.2500  0.7500  0.2647 (multiplicity 2)  2 Sn 3.01, 4 Er 3.17

Computed properties:
Formation energy from the elements in eV/atom: -0.486

=====

(3)
VASP calculation (PBE) on Er11Sn10 after structural relaxation.

Unit cell a=11.5510 b=11.5510 c=16.9143 alpha=90.00 beta=90.00 gamma=90.00
Closest atoms and distances in Å follow each position.
Space group I4/mmm (No. 139)
Unique sites:
Er  0.0000  0.0000  0.1663 (multiplicity 4)  9 Sn 3.36-3.74
Er  0.0000  0.2513  0.3116 (multiplicity 16)  5 Sn 3.06-3.41
Er  0.0000  0.3314  0.1023 (multiplicity 16)  7 Sn 3.05-3.27
Er  0.1732  0.1732  0.5000 (multiplicity 8)  3 Sn 2.90-3.22
Sn  0.0000  0.0000  0.3873 (multiplicity 4)  8 Er 3.17-3.41
Sn  0.0000  0.3554  0.5000 (multiplicity 8)  6 Er 2.90-3.09
Sn  0.0000  0.5000  0.2500 (multiplicity 4)  8 Er 3.06-3.17
Sn  0.1299  0.1299  0.0000 (multiplicity 8)  4 Sn 3.00-3.22, 5 Er 3.22-3.27
Sn  0.2056  0.2056  0.1757 (multiplicity 16)  2 Sn 2.90-3.22, 2 Er 3.05

Computed properties:
Formation energy from the elements in eV/atom: -0.709

=====

(4)
VASP calculation (PBE) on Er3Sn after structural relaxation.

Unit cell a=4.6215 b=4.6215 c=10.3236 alpha=90.00 beta=90.00 gamma=90.00
Closest atoms and distances in Å follow each position.
Space group I4/mmm (No. 139)
Unique sites:
Er  0.0000  0.0000  0.0000 (multiplicity 2)  4 Sn 3.27, 8 Er 3.46
Er  0.0000  0.5000  0.2500 (multiplicity 4)  8 Er 3.27-3.46, 4 Sn 3.46
Sn  0.0000  0.0000  0.5000 (multiplicity 2)  12 Er 3.27-3.46

Computed properties:
Formation energy from the elements in eV/atom: -0.386

=====

(5)
VASP calculation (PBE) on Er3Sn5 after structural relaxation.

Unit cell a=12.7938 b=10.2723 c=6.3340 alpha=90.00 beta=90.00 gamma=90.00
Closest atoms and distances in Å follow each position.
Space group Pnma (No. 62)
Unique sites:
Er  0.0452  0.2500  0.1292 (multiplicity 4)  8 Sn 3.05-3.39
Er  0.1490  0.5078  0.6170 (multiplicity 8)  9 Sn 3.20-3.43
Sn  0.0002  0.2500  0.6017 (multiplicity 4)  3 Sn 3.01-3.28, 3 Er 3.05-3.26
Sn  0.0964  0.5436  0.1225 (multiplicity 8)  4 Sn 3.01-3.28, 5 Er 3.09-3.30
Sn  0.2383  0.7500  0.8779 (multiplicity 4)  4 Sn 3.02-3.33, 5 Er 3.19-3.37
Sn  0.2445  0.2500  0.8539 (multiplicity 4)  5 Sn 3.02-3.33, 5 Er 3.09-3.29

Computed properties:
Formation energy from the elements in eV/atom: -0.514

=====

(6)
VASP calculation (PBE) on Er4Sn3 after structural relaxation.

Unit cell a=9.2074 b=9.2074 c=9.2074 alpha=90.00 beta=90.00 gamma=90.00
Closest atoms and distances in Å follow each position.
Space group I-43d (No. 220)
Unique sites:
Er  0.0713  0.4287  0.5713 (multiplicity 16)  6 Sn 3.07-3.31
Sn  0.0000  0.2500  0.8750 (multiplicity 12)  8 Er 3.07-3.31

Computed properties:
Formation energy from the elements in eV/atom: -0.706

=====

Number 1: magnetic moment 0.00 Bohr magnetons per cell. Number 2: magnetic moment 0.00 Bohr magnetons per cell. Number 3: magnetic moment 0.00 Bohr magnetons per cell. Number 4: magnetic moment 0.00 Bohr magnetons per cell. Number 5: magnetic moment 0.00 Bohr magnetons per cell. Number 6: magnetic moment 0.00 Bohr magnetons per cell.